No. 1
KAsAu2 (PBE-GGA, optimized geometry); DFT total energy = -13.56 eV/f.u.; crystal system = tetragonal
1.0
-2.910 2.910 7.929
2.910 -2.910 7.929
2.910 2.910 -7.929
K As Au
2 2 4
Direct
0.000 0.000 0.000
0.750 0.250 0.500
0.250 0.750 0.500
0.500 0.500 0.000
0.334 0.125 0.709
0.375 0.666 0.791
0.416 0.625 0.291
0.875 0.584 0.209

***

No. 2
K5As2Au (PBE-GGA, optimized geometry); DFT total energy = -21.59 eV/f.u.; crystal system = trigonal
1.0
2.877 1.661 9.169
-2.877 1.661 9.169
0.000 -3.322 9.169
K As Au
5 2 1
Direct
0.000 0.000 0.000
0.131 0.131 0.131
0.282 0.282 0.282
0.718 0.718 0.718
0.869 0.869 0.869
0.408 0.408 0.408
0.592 0.592 0.592
0.500 0.500 0.500

***

No. 3
KAsAu (PBE-GGA, optimized geometry); DFT total energy = -8.73 eV/f.u.; crystal system = cubic
1.0
0.000 3.448 3.448
3.448 0.000 3.448
3.448 3.448 0.000
K As Au
1 1 1
Direct
0.000 0.000 0.000
0.500 0.500 0.500
0.750 0.750 0.750

***

No. 4
KAs5Au3 (PBE-GGA, optimized geometry); DFT total energy = -32.40 eV/f.u.; crystal system = hexagonal
1.0
6.316 0.000 0.000
-3.158 5.470 0.000
0.000 0.000 6.892
K As Au
1 5 3
Direct
0.000 0.000 0.000
0.000 0.000 0.500
0.333 0.667 0.235
0.333 0.667 0.765
0.667 0.333 0.235
0.667 0.333 0.765
0.000 0.500 0.500
0.500 0.000 0.500
0.500 0.500 0.500

***

No. 5
KLiAsAu (PBE-GGA, optimized geometry); DFT total energy = -11.70 eV/f.u.; crystal system = cubic
1.0
0.000 3.481 3.481
3.481 0.000 3.481
3.481 3.481 0.000
K Li As Au
1 1 1 1
Direct
0.000 0.000 0.000
0.750 0.750 0.750
0.500 0.500 0.500
0.250 0.250 0.250

***

No. 6
KLiAsAu (PBE-GGA, optimized geometry); DFT total energy = -10.98 eV/f.u.; crystal system = cubic
1.0
0.000 3.578 3.578
3.578 0.000 3.578
3.578 3.578 0.000
K Li As Au
1 1 1 1
Direct
0.000 0.000 0.000
0.500 0.500 0.500
0.750 0.750 0.750
0.250 0.250 0.250